Material: RbCd3Rh
Method: DFT, SCAN
State: single point on PBEsol structure

Cell lengths 5.1929, 5.1929, 5.1929 Å; angles 90.00, 90.00, 90.00 degrees
Fractional positions:
Rb1 0.0000 0.0000 0.0000
Cd1 0.0000 0.5000 0.5000
Cd2 0.5000 0.0000 0.5000
Cd3 0.5000 0.5000 0.0000
Rh1 0.5000 0.5000 0.5000

Values from the calculation:
SG: Pm-3m (221)
DOS at the Fermi energy, states/eV/f.u.: 2.01
Volume, Å³/atom: 28.01
VASP energy, eV/cell: -146.3
ΔH_f (0 K), eV per formula unit: -0.557
Magnetic moment, Bohr magnetons per cell: 0.0
Energy relative to the lowest polymorph listed for this composition, meV/atom: 12